# 1
Below is crystalline LiGa6Cu5 at its relaxed geometry, with properties calculated at the PBE level.

Structure (extended XYZ):
```
12
Lattice="3.8452 0.0000 0.0129 1.9226 5.8732 0.0065 -0.0227 0.0000 7.5123" Properties=species:S:1:pos:R:3 pbc="T T T"
Cu 3.8338 3.8931 3.7691
Cu 1.9226 2.0054 0.0065
Cu -0.0113 0.0000 3.7562
Cu 3.8452 3.8678 0.0129
Cu 1.9112 1.9800 3.7626
Ga 3.8396 1.9584 1.9233
Ga 3.8280 1.9584 5.6149
Ga 1.9055 0.0000 5.6265
Ga 1.9170 0.0000 1.8988
Ga 1.9171 3.9148 1.9168
Ga 1.9054 3.9148 5.6085
Li 0.0000 0.0000 0.0000
```

Properties
DOS at the Fermi energy (states/eV per atom): 0.32
E_tot (eV per cell): -41.433
Relative energy among the computed polymorphs (meV/atom): 0
SG: No. 65


# 2
Below is crystalline Li3Ga2Cu at its relaxed geometry, with properties calculated at the PBE level.

Structure (extended XYZ):
```
12
Lattice="0.6399 -0.0644 -4.1233 5.5445 -3.4526 0.9144 -4.4710 -5.2266 1.4996" Properties=species:S:1:pos:R:3 pbc="T T T"
Li 3.7792 -5.4105 -1.4408
Li 4.2261 -3.6762 0.7133
Li -0.9154 -5.6993 -0.0530
Li 2.6288 -3.0443 -1.6563
Li -2.5126 -5.0673 -2.4226
Li -2.0658 -3.3330 -0.2685
Ga 0.9163 -7.5150 0.2596
Ga 0.7971 -1.2285 -1.9689
Ga 1.6406 -4.7507 0.3288
Ga 0.0729 -3.9928 -2.0381
Cu 0.4066 -2.5041 0.1022
Cu 1.3068 -6.2394 -1.8115
```

Properties
DOS at the Fermi energy (states/eV per atom): 0.19
E_tot (eV per cell): -34.550
Relative energy among the computed polymorphs (meV/atom): 0
SG: No. 12


# 3
Below is crystalline LiGa2Cu at its relaxed geometry, with properties calculated at the PBE level.

Structure (extended XYZ):
```
8
Lattice="4.0095 0.0000 0.0000 -2.0048 4.4520 0.0000 0.0000 0.0000 7.0546" Properties=species:S:1:pos:R:3 pbc="T T T"
Li 2.0048 3.8151 1.7636
Li 0.0000 0.6370 5.2909
Ga 0.0000 3.2096 6.6527
Ga 2.0048 1.2424 0.4019
Ga 2.0048 1.2424 3.1254
Ga 0.0000 3.2096 3.9292
Cu 0.0000 1.9525 1.7636
Cu 2.0048 2.4996 5.2909
```

Properties
DOS at the Fermi energy (states/eV per atom): 0.26
E_tot (eV per cell): -25.918
SG: No. 63


# 4
Below is crystalline Li2Ga2Cu5 at its relaxed geometry, with properties calculated at the PBE level.

Structure (extended XYZ):
```
9
Lattice="-1.4155 4.5305 1.8954 -3.2813 -1.2739 -5.3075 -0.2982 -0.2833 6.3563" Properties=species:S:1:pos:R:3 pbc="T T T"
Li -2.4413 0.6808 0.4682
Li -2.5537 2.2924 2.4761
Ga -1.6397 2.7189 6.2364
Ga -3.3553 0.2543 -3.2921
Cu -3.5756 1.9902 -1.4642
Cu -1.4194 0.9831 4.4085
Cu -1.3264 -0.5850 2.3930
Cu -3.6687 3.5582 0.5513
Cu 0.0000 0.0000 0.0000
```

Properties
DOS at the Fermi energy (states/eV per atom): 0.23
E_tot (eV per cell): -31.595
SG: No. 12


# 5
Below is crystalline Li3Ga8Cu3 at its relaxed geometry, with properties calculated at the PBE level.

Structure (extended XYZ):
```
14
Lattice="4.0071 0.0000 1.0587 1.7140 7.3398 1.6253 0.1066 -0.0991 7.7092" Properties=species:S:1:pos:R:3 pbc="T T T"
Li 2.9139 3.6204 5.1966
Li 3.5415 1.5419 2.8210
Li 2.2863 5.6988 7.5721
Ga 2.7396 0.4253 5.8560
Ga 3.0881 6.8154 4.5371
Ga 3.6898 4.8228 2.2596
Ga 2.1379 2.4179 8.1335
Ga 4.8394 5.5427 6.0213
Ga 0.9884 1.6980 4.3719
Ga 4.4202 3.6029 7.6077
Ga 1.4075 3.6378 2.7854
Cu 2.0036 0.0000 0.5293
Cu 1.4768 6.2419 2.5233
Cu 0.3439 0.9988 6.8112
```

Properties
DOS at the Fermi energy (states/eV per atom): 0.33
E_tot (eV per cell): -44.715
SG: No. 71


# 6
Below is crystalline Li2Ga5Cu4 at its relaxed geometry, with properties calculated at the PBE level.

Structure (extended XYZ):
```
11
Lattice="-2.3847 4.5583 -0.2420 -5.7621 -0.2525 -2.7763 -3.7493 1.2007 4.7607" Properties=species:S:1:pos:R:3 pbc="T T T"
Li -7.5441 1.9412 1.3031
Li -4.3521 3.5652 0.4393
Ga -4.7052 2.0764 3.3620
Ga -7.1909 3.4301 -1.6196
Ga -4.7557 0.4741 0.9922
Ga -5.9014 4.3627 3.2406
Ga -5.9948 1.1437 -1.4982
Cu -2.7005 1.5857 1.6795
Cu -9.1956 3.9207 0.0629
Cu -8.5002 4.4211 2.6358
Cu -3.3959 1.0853 -0.8934
```

Properties
DOS at the Fermi energy (states/eV per atom): 0.27
E_tot (eV per cell): -36.802
SG: No. 12


# 7
Below is crystalline Li6Ga2Cu at its relaxed geometry, with properties calculated at the PBE level.

Structure (extended XYZ):
```
9
Lattice="-2.5709 -3.6515 -2.5335 3.8622 -2.9624 1.6404 -2.7869 -0.1350 4.3125" Properties=species:S:1:pos:R:3 pbc="T T T"
Li -0.8187 -2.2059 3.9852
Li -2.8854 -3.6040 0.3216
Li -0.6770 -4.5430 -0.5659
Li -2.9576 -2.4348 2.5977
Li 1.3898 -3.1450 3.0977
Li 1.4620 -4.3141 0.8216
Ga -1.0072 -4.5457 2.3036
Ga -0.4885 -2.2033 1.1158
Cu 0.0000 0.0000 0.0000
```

Properties
DOS at the Fermi energy (states/eV per atom): 0.34
E_tot (eV per cell): -23.418
Relative energy among the computed polymorphs (meV/atom): 0
SG: No. 166


# 8
Below is crystalline Li3Ga3Cu2 at its relaxed geometry, with properties calculated at the PBE level.

Structure (extended XYZ):
```
8
Lattice="-1.9784 -1.5315 -0.9587 0.4104 3.4122 -6.2979 3.9697 -5.8606 1.1701" Properties=species:S:1:pos:R:3 pbc="T T T"
Li 0.0994 0.8265 -1.5255
Li 0.9615 -1.4195 0.2834
Li 3.3192 -1.8554 -3.8858
Ga -0.7385 1.3187 -4.3266
Ga 1.4358 -4.3458 0.2355
Ga 0.7152 -1.7185 -2.4747
Cu 2.7833 -2.7697 -1.3192
Cu 1.5969 0.3212 -3.8086
```

Properties
DOS at the Fermi energy (states/eV per atom): 0.33
E_tot (eV per cell): -24.684
SG: No. 189


# 9
Below is crystalline LiGaCu14 at its relaxed geometry, with properties calculated at the PBE level.

Structure (extended XYZ):
```
16
Lattice="-1.9368 -0.4192 4.7627 2.5783 -3.9651 -2.0594 7.1548 3.0038 3.1740" Properties=species:S:1:pos:R:3 pbc="T T T"
Li 5.9658 -2.3140 -0.1856
Ga 3.7025 -0.5366 3.2341
Cu 1.6397 -3.2279 -0.6412
Cu -0.6146 -1.4575 2.7649
Cu 4.6784 -0.3306 0.8394
Cu 0.3521 -1.2520 0.3911
Cu 4.9999 -2.5278 2.1942
Cu 0.6711 -3.4320 1.7353
Cu 4.9774 1.6166 3.9183
Cu 1.3616 0.0986 2.3142
Cu 5.3000 -0.5878 5.2775
Cu 1.6841 -2.1059 3.6735
Cu 6.2465 -0.3879 2.8716
Cu 2.6843 -1.8835 1.2914
Cu 4.0184 1.3999 6.2998
Cu 0.3932 -0.1221 4.6916
```

Properties
DOS at the Fermi energy (states/eV per atom): 0.21
E_tot (eV per cell): -62.924
SG: No. 38


# 10
Below is crystalline Li6GaCu8 at its relaxed geometry, with properties calculated at the PBE level.

Structure (extended XYZ):
```
15
Lattice="-0.7138 -1.1500 -6.6986 0.3922 -6.3740 -2.4336 -5.3359 -3.0799 -2.3887" Properties=species:S:1:pos:R:3 pbc="T T T"
Li -4.6479 -3.8761 -5.0813
Li -1.4026 -3.9245 -7.1288
Li -0.9703 -4.6953 -4.3527
Li -4.6871 -5.9086 -7.1683
Li -4.2548 -6.6794 -4.3922
Li -1.0096 -6.7278 -6.4396
Ga 0.0000 0.0000 0.0000
Cu -2.2620 -2.4858 -5.3553
Cu -4.0875 -3.6186 -7.7600
Cu -3.4087 -4.4322 -3.0543
Cu -4.0843 -7.9356 -8.6606
Cu -1.5731 -2.6683 -2.8603
Cu -2.2488 -6.1717 -8.4666
Cu -1.5700 -6.9853 -3.7610
Cu -3.3954 -8.1181 -6.1656
```

Properties
DOS at the Fermi energy (states/eV per atom): 0.11
E_tot (eV per cell): -47.128
SG: No. 148


# 11
Below is crystalline LiGa2Cu at its relaxed geometry, with properties calculated at the PBE level.

Structure (extended XYZ):
```
4
Lattice="-1.2147 -2.8296 5.6321 1.2225 -1.3319 -6.1591 1.6743 1.3514 6.0476" Properties=species:S:1:pos:R:3 pbc="T T T"
Li 0.0000 0.0000 0.0000
Ga 0.1368 -0.4400 3.4764
Ga 0.3228 -1.0382 8.2032
Cu 0.2298 -0.7391 5.8398
```

Properties
DOS at the Fermi energy (states/eV per atom): 0.37
E_tot (eV per cell): -11.872
SG: No. 71


# 12
Below is crystalline LiGa3Cu7 at its relaxed geometry, with properties calculated at the PBE level.

Structure (extended XYZ):
```
11
Lattice="-4.0499 -2.0513 -1.1455 6.5371 -2.5287 -1.2317 3.8643 -1.2078 5.8527" Properties=species:S:1:pos:R:3 pbc="T T T"
Li 3.1757 -2.8939 1.7377
Ga 6.0240 -2.2752 0.1281
Ga -2.0249 -1.0257 -0.5727
Ga 4.3773 -1.4613 4.4929
Cu 1.4574 -1.3763 0.8065
Cu 7.2683 -3.4822 2.0123
Cu -0.0327 -2.7425 -0.8801
Cu 6.3842 -3.0453 4.3556
Cu 5.2007 -1.8683 2.3105
Cu -0.9168 -2.3056 1.4631
Cu 4.8941 -4.4115 2.6690
```

Properties
DOS at the Fermi energy (states/eV per atom): 0.22
E_tot (eV per cell): -39.787
SG: No. 12


> Which formula does entry 11 have?

LiGa2Cu